(P)
Here is crystalline LaTe2Br at its relaxed geometry from Alexandria via LeMat-Bulk. Energies are from PBE.

Cell: 9.196 9.196 9.196 Å, 30.86 30.86 30.86°
Atoms (fractional coordinates):
La  0.000  0.000  0.000
Te  0.394  0.394  0.394
Te  0.606  0.606  0.606
Br  0.500  0.500  0.500

**Magnetization**: 0.00 μB per cell

(Q)
Here is crystalline LaTe2Br at its relaxed geometry from Alexandria via LeMat-Bulk. Energies are from PBE.

Cell: 4.495 4.530 5.756 Å, 90.00 90.00 90.00°
Atoms (fractional coordinates):
La  0.000  0.000  0.000
Te  0.000  0.500  0.500
Te  0.500  0.000  0.500
Br  0.500  0.500  0.000

**Magnetization**: 0.00 μB per cell

If you had to name the least stable structure above, which would it be? It would be (P).